VASP calculation (GGA+U) on an optimized crystal structure of PuNiRuO6.

It has space group P-31c (No. 163), with a = 5.1654 Å, b = 5.1654 Å, c = 8.9554 Å, α = 90.00°, β = 90.00° and γ = 120.00°. The distinct sites, in fractional coordinates, are Pu at (0.3333, 0.6667, 0.2500), Ni at (0.3333, 0.6667, 0.7500), Ru at (0.0000, 0.0000, 0.0000) and O at (0.0004, 0.3231, 0.1249).

Its density of states at the Fermi level is 0.5653 states/eV/atom. The volume comes out at 11.50 A^3/atom. For the total energy, the calculation gives -140.39 eV for the cell shown.